Sc3AgH3: optimized geometry, PBE-GGA.

a = 5.720 Å, b = 5.720 Å, c = 5.720 Å
α = 90.00°, β = 90.00°, γ = 90.00°
Element x y z (fractional)
Sc 0.000 0.250 0.500
Sc 0.000 0.750 0.500
Sc 0.250 0.500 0.000
Sc 0.500 0.000 0.250
Sc 0.500 0.000 0.750
Sc 0.750 0.500 0.000
Ag 0.000 0.000 0.000
Ag 0.500 0.500 0.500
H 0.000 0.500 0.250
H 0.000 0.500 0.750
H 0.250 0.000 0.500
H 0.500 0.250 0.000
H 0.500 0.750 0.000
H 0.750 0.000 0.500

Spin magnetization   2.6 μB per cell
Electronic total energy   -4.944 eV per atom